# Er2Tl2MoO6 PBE+U optimized geometry
# total moment = 2.00 μB per formula unit
# energy = -74.9 eV per formula unit
data_Er2Tl2MoO6
_chemical_formula_sum 'Er4 Tl4 Mo2 O12'
_space_group_name_H-M_alt 'C 1 2/m 1'
_space_group_IT_number 12
_cell_length_a 5.863
_cell_length_b 10.004
_cell_length_c 6.819
_cell_angle_alpha 90.00
_cell_angle_beta 106.30
_cell_angle_gamma 90.00
loop_
_space_group_symop_operation_xyz
'x,y,z'
'-x,-y,-z'
'-x,y,-z'
'x,-y,z'
'x+1/2,y+1/2,z'
'-x+1/2,-y+1/2,-z'
'-x+1/2,y+1/2,-z'
'x+1/2,-y+1/2,z'
loop_
_atom_site_label
_atom_site_type_symbol
_atom_site_fract_x
_atom_site_fract_y
_atom_site_fract_z
_atom_site_occupancy
Er1 Er 0.000 0.165 0.000 1
Tl1 Tl 0.000 0.335 0.500 1
Mo1 Mo 0.000 0.500 0.000 1
O1 O 0.207 0.344 0.160 1
O2 O 0.237 0.000 0.171 1